VASP calculation (GGA-PBEsol) on an optimized crystal structure of Tc.

abc: 4.2678 4.2678 2.6825
angles: 90.00 90.00 120.00
Space group P6/mmm (No. 191)
One atom of each set of equivalent atoms:
Tc: 0.0000 0.0000 0.0000 [1 per cell]
Tc: 0.3333 0.6667 0.5000 [2 per cell]

Properties
The calculation puts the energy above the most stable polymorph in this dataset at 0.09 eV per formula unit. The calculated formation energy comes out at 87 meV/atom. The crystal system is hexagonal. For the density of states at the Fermi level, the calculation gives 0.85 states/eV/f.u.